This record from the Alexandria database describes a geometry-optimized Ca3Ga2Ni9Sn structure. The functional is PBE.

Cell: 6.2193 6.2193 8.5028 Å, 90.00 90.00 120.00°
With the nearest neighbours (Å) after each atom.
Space group P-3m1 (No. 164)
Inequivalent atoms, fractional coordinates:
Ca: 0.0000 0.0000 0.0000 (multiplicity 1)  6 Ni 3.11
Ca: 0.3333 0.6667 0.7201 (multiplicity 2)  6 Ni 2.91-2.98
Ga: 0.3333 0.6667 0.1811 (multiplicity 2)  6 Ni 2.37-2.40
Ni: 0.0000 0.5000 0.0000 (multiplicity 3)  2 Ga 2.37
Ni: 0.2098 0.4195 0.4154 (multiplicity 6)  2 Ni 2.31, 1 Sn 2.37, 1 Ga 2.40
Sn: 0.0000 0.0000 0.5000 (multiplicity 1)  6 Ni 2.37

Computed properties:
The calculated formation energy is 0.019 eV per atom. The total energy is -67.81 eV per cell. The calculation puts the magnetization at 0.000 μB per atom.

---

This record from the Alexandria database describes a geometry-optimized SmLuI2 structure. The functional is PBE.

Cell: 3.8626 3.8626 31.9754 Å, 90.00 90.00 120.00°
With the nearest neighbours (Å) after each atom.
Space group R-3m (No. 166, hexagonal axes)
Inequivalent atoms, fractional coordinates:
Sm: 0.0000 0.0000 0.0000 (multiplicity 3)  6 I 3.19
Lu: 0.0000 0.0000 0.5000 (multiplicity 3)  2 I 3.05
I: 0.0000 0.0000 0.4046 (multiplicity 6)  1 Lu 3.05, 3 Sm 3.19

Computed properties:
For the energy relative to the elements, uncorrected, the calculation gives -0.649 eV per atom. The total energy is -44.81 eV per cell. The calculation puts the magnetization at 0.000 μB per atom.

---

This record from the Alexandria database describes a geometry-optimized SmPaPt2 structure. The functional is PBE.

Cell: 5.8726 4.3624 7.6680 Å, 90.00 109.99 90.00°
With the nearest neighbours (Å) after each atom.
Space group P2_1/m (No. 11)
Inequivalent atoms, fractional coordinates:
Sm: 0.2156 0.2500 0.1794 (multiplicity 2)  7 Pt 2.96-3.21
Pa: 0.2340 0.2500 0.6835 (multiplicity 2)  6 Pt 2.87-3.15
Pt: 0.3001 0.7500 0.4614 (multiplicity 2)  3 Pa 2.87-2.95, 3 Sm 2.99-3.21, 2 Pt 3.11
Pt: 0.3205 0.7500 0.9437 (multiplicity 2)  3 Pa 2.88-3.15, 2 Pt 2.95, 4 Sm 2.96-3.17

Computed properties:
The calculated formation energy is -1.071 eV per atom. The total energy is -61.16 eV per cell. The calculation puts the magnetization at 0.000 μB per atom. As for the relative energy among the computed polymorphs: 0 meV per atom.

---

This record from the Alexandria database describes a geometry-optimized MgFe4 structure. The functional is PBE.

Cell: 4.3522 4.3522 4.3522 Å, 90.00 90.00 90.00°
With the nearest neighbours (Å) after each atom.
Space group Pm-3m (No. 221)
Inequivalent atoms, fractional coordinates:
Mg: 0.0000 0.0000 0.0000 (multiplicity 1)  6 Fe 2.18
Fe: 0.0000 0.0000 0.5000 (multiplicity 3)  2 Mg 2.18
Fe: 0.5000 0.5000 0.5000 (multiplicity 1)  12 Fe 3.08

Computed properties:
The calculated formation energy is 1.687 eV per atom. The total energy is -27.01 eV per cell. The calculation puts the magnetization at 2.128 μB per atom. As for the relative energy among the computed polymorphs: 1500 meV per atom.

---

This record from the Alexandria database describes a geometry-optimized GeS2O structure. The functional is PBE.

Cell: 5.9772 5.9772 7.8452 Å, 90.00 90.00 90.00°
With the nearest neighbours (Å) after each atom.
Space group I-42d (No. 122)
Inequivalent atoms, fractional coordinates:
Ge: 0.0000 0.0000 0.0000 (multiplicity 4)  4 S 2.37
S: 0.2408 0.2500 0.6250 (multiplicity 8)  2 O 2.29, 2 Ge 2.37
O: 0.0000 0.0000 0.5000 (multiplicity 4)  4 S 2.29

Computed properties:
For the energy relative to the elements, uncorrected, the calculation gives 0.470 eV per atom. The total energy is -63.80 eV per cell. The calculation puts the magnetization at 0.000 μB per atom. As for the relative energy among the computed polymorphs: 382 meV per atom.

---

This record from the Alexandria database describes a geometry-optimized Zr2MnNb structure. The functional is PBE.

Cell: 6.6427 6.6427 6.6427 Å, 90.00 90.00 90.00°
With the nearest neighbours (Å) after each atom.
Space group Fm-3m (No. 225)
Inequivalent atoms, fractional coordinates:
Zr: 0.2500 0.2500 0.2500 (multiplicity 8)  4 Nb 2.88, 4 Mn 2.88
Mn: 0.0000 0.0000 0.0000 (multiplicity 4)  8 Zr 2.88
Nb: 0.0000 0.0000 0.5000 (multiplicity 4)  8 Zr 2.88

Computed properties:
The calculated formation energy is 0.165 eV per atom. The total energy is -142.71 eV per cell. The calculation puts the magnetization at 0.000 μB per atom. As for the relative energy among the computed polymorphs: 107 meV per atom.

---

This record from the Alexandria database describes a geometry-optimized ErSc2Fe structure. The functional is PBE.

Cell: 3.1742 3.1742 8.4356 Å, 90.00 90.00 90.00°
With the nearest neighbours (Å) after each atom.
Space group P4/mmm (No. 123)
Inequivalent atoms, fractional coordinates:
Er: 0.0000 0.0000 0.0000 (multiplicity 1)  4 Er 3.17, 8 Sc 3.53
Sc: 0.5000 0.5000 0.3236 (multiplicity 2)  4 Fe 2.69, 1 Sc 2.98
Fe: 0.0000 0.0000 0.5000 (multiplicity 1)  8 Sc 2.69

Computed properties:
The calculated formation energy is -0.032 eV per atom. The total energy is -25.82 eV per cell. The calculation puts the magnetization at 0.000 μB per atom. As for the relative energy among the computed polymorphs: 30 meV per atom.

---

This record from the Alexandria database describes a geometry-optimized In2CuIr structure. The functional is PBE.

Cell: 6.5406 6.5406 6.5406 Å, 90.00 90.00 90.00°
With the nearest neighbours (Å) after each atom.
Space group F-43m (No. 216)
Inequivalent atoms, fractional coordinates:
In: 0.0000 0.0000 0.0000 (multiplicity 4)  4 In 2.83, 4 Ir 2.83
In: 0.2500 0.2500 0.2500 (multiplicity 4)  4 In 2.83, 4 Cu 2.83
Cu: 0.0000 0.0000 0.5000 (multiplicity 4)  4 In 2.83, 4 Ir 2.83
Ir: 0.2500 0.2500 0.7500 (multiplicity 4)  4 In 2.83, 4 Cu 2.83

Computed properties:
The calculated formation energy is 0.254 eV per atom. The total energy is -69.67 eV per cell. The calculation puts the magnetization at 0.000 μB per atom.

---

This record from the Alexandria database describes a geometry-optimized PmZn3Au4 structure. The functional is PBE.

Cell: 4.7028 4.7028 7.3535 Å, 90.00 90.00 90.00°
With the nearest neighbours (Å) after each atom.
Space group P4/mmm (No. 123)
Inequivalent atoms, fractional coordinates:
Pm: 0.0000 0.0000 0.0000 (multiplicity 1)  8 Au 3.25, 8 Zn 3.54
Zn: 0.0000 0.0000 0.5000 (multiplicity 1)  8 Au 2.76
Zn: 0.5000 0.5000 0.1662 (multiplicity 2)  1 Zn 2.44, 4 Au 2.56
Au: 0.0000 0.5000 0.3045 (multiplicity 4)  4 Zn 2.56-2.76

Computed properties:
The calculated formation energy is -0.346 eV per atom. The total energy is -24.45 eV per cell. The calculation puts the magnetization at 0.000 μB per atom.

---

This record from the Alexandria database describes a geometry-optimized SiHg2As structure. The functional is PBE.

Cell: 12.0093 2.8829 5.4629 Å, 90.00 114.49 90.00°
With the nearest neighbours (Å) after each atom.
Space group C2/m (No. 12)
Inequivalent atoms, fractional coordinates:
Si: 0.0000 0.0000 0.0000 (multiplicity 2)  2 Si 2.88, 4 Hg 2.98, 4 As 3.09
Hg: 0.2384 0.5000 0.2397 (multiplicity 4)  6 Hg 2.88-3.10, 2 Si 2.98, 2 As 3.20
As: 0.0000 0.5000 0.5000 (multiplicity 2)  2 As 2.88, 4 Si 3.09, 4 Hg 3.20

Computed properties:
For the energy relative to the elements, uncorrected, the calculation gives 0.464 eV per atom. The total energy is -17.64 eV per cell. The calculation puts the magnetization at 0.000 μB per atom. As for the relative energy among the computed polymorphs: 363 meV per atom.

---

This record from the Alexandria database describes a geometry-optimized Li3Tb3MnS8 structure. The functional is PBE.

Cell: 7.6930 7.6930 18.3934 Å, 90.00 90.00 120.00°
With the nearest neighbours (Å) after each atom.
Space group R-3m (No. 166, hexagonal axes)
Inequivalent atoms, fractional coordinates:
Li: 0.0000 0.5000 0.0000 (multiplicity 9)  6 S 2.67-2.69
Tb: 0.0000 0.5000 0.5000 (multiplicity 9)  6 S 2.71-2.76
Mn: 0.0000 0.0000 0.5000 (multiplicity 3)  6 S 2.43
S: 0.0000 0.0000 0.2512 (multiplicity 6)  3 Li 2.69, 3 Tb 2.71
S: 0.0383 0.5192 0.2442 (multiplicity 18)  1 Mn 2.43, 2 Li 2.67

Computed properties:
For the energy relative to the elements, uncorrected, the calculation gives -1.535 eV per atom. The total energy is -254.56 eV per cell. The calculation puts the magnetization at 0.200 μB per atom.

---

This record from the Alexandria database describes a geometry-optimized Zr2SbPb structure. The functional is PBE.

Cell: 3.3629 3.3629 29.2677 Å, 90.00 90.00 120.00°
With the nearest neighbours (Å) after each atom.
Space group R-3m (No. 166, hexagonal axes)
Inequivalent atoms, fractional coordinates:
Zr: 0.0000 0.0000 0.2469 (multiplicity 6)  3 Sb 3.05, 3 Pb 3.19, 6 Zr 3.36
Sb: 0.0000 0.0000 0.5000 (multiplicity 3)  6 Zr 3.05, 6 Sb 3.36
Pb: 0.0000 0.0000 0.0000 (multiplicity 3)  6 Zr 3.19, 6 Pb 3.36

Computed properties:
For the energy relative to the elements, uncorrected, the calculation gives -0.168 eV per atom. The total energy is -76.80 eV per cell. The calculation puts the magnetization at 0.000 μB per atom. As for the relative energy among the computed polymorphs: 175 meV per atom.